Entry 1:
First-principles (GGA-PBE) data for Ca3Sn2Ge after structural relaxation, as listed in Alexandria via LeMat-Bulk.

The formation energy comes out at -12.79 kcal/mol of atoms. The raw total energy comes out at -0.1345 Ha/atom.

The space group is Pnma (No. 62) and the conventional cell measures 12.619, 4.409 and 12.749 Å, with angles of 90.00, 90.00 and 90.00 degrees. The asymmetric unit holds Ca at (0.059, 0.250, 0.121), Ca at (0.120, 0.750, 0.545), Ca at (0.214, 0.250, 0.783), Sn at (0.013, 0.750, 0.316), Sn at (0.191, 0.750, 0.995) and Ge at (0.147, 0.250, 0.347).

=====

Entry 2:
First-principles (GGA-PBE) data for Cd2PtPb after structural relaxation, as listed in Alexandria via LeMat-Bulk.

The formation energy comes out at 0.04 kcal/mol of atoms. The raw total energy comes out at -0.1063 Ha/atom.

The space group is P4/mmm (No. 123) and the conventional cell measures 4.385, 4.385 and 4.495 Å, with angles of 90.00, 90.00 and 90.00 degrees. The asymmetric unit holds Cd at (0.000, 0.500, 0.000), Pt at (0.000, 0.000, 0.500) and Pb at (0.500, 0.500, 0.500).

=====

Entry 3:
First-principles (GGA-PBE) data for ZrAlCu2 after structural relaxation, as listed in Alexandria via LeMat-Bulk.

The formation energy comes out at 2.79 kcal/mol of atoms. The raw total energy comes out at -0.1837 Ha/atom.

The space group is I-42d (No. 122) and the conventional cell measures 4.026, 4.026 and 17.223 Å, with angles of 90.00, 90.00 and 90.00 degrees. The asymmetric unit holds Zr at (0.000, 0.000, 0.000), Al at (0.000, 0.000, 0.500) and Cu at (0.183, 0.250, 0.625).

=====

Entry 4:
First-principles (GGA-PBE) data for Ca2Cd2Te after structural relaxation, as listed in Alexandria via LeMat-Bulk.

The uncorrected formation energy comes out at -0.217 eV per atom. For the offset from the most stable computed form, the calculation gives 1.363 eV/f.u. The raw total energy comes out at -0.0739 Ha/atom.

The space group is I4/mmm (No. 139) and the conventional cell measures 5.930, 5.930 and 9.465 Å, with angles of 90.00, 90.00 and 90.00 degrees. The asymmetric unit holds Ca at (0.000, 0.500, 0.250), Cd at (0.000, 0.000, 0.145) and Te at (0.000, 0.000, 0.500).

=====

Entry 5:
First-principles (GGA-PBE) data for In2SiOs after structural relaxation, as listed in Alexandria via LeMat-Bulk.

The uncorrected formation energy comes out at 0.641 eV per atom. The raw total energy comes out at -0.1798 Ha/atom.

The space group is R-3m (No. 166, hexagonal axes) and the conventional cell measures 3.2291, 3.2291 and 25.3634 Å, with angles of 90.00, 90.00 and 120.00 degrees. The asymmetric unit holds In at (0.0000, 0.0000, 0.2480), Si at (0.0000, 0.0000, 0.0000) and Os at (0.0000, 0.0000, 0.5000).

=====

Entry 6:
First-principles (GGA-PBE) data for GaTeN3 after structural relaxation, as listed in Alexandria via LeMat-Bulk.

The uncorrected formation energy comes out at 1.612 eV per atom. The raw total energy comes out at -0.1697 Ha/atom.

The space group is Pm-3m (No. 221) and the conventional cell measures 3.984, 3.984 and 3.984 Å, with angles of 90.00, 90.00 and 90.00 degrees. The asymmetric unit holds Ga at (0.000, 0.000, 0.000), Te at (0.500, 0.500, 0.500) and N at (0.000, 0.500, 0.500).